# LiMn2TeO6, relaxed, DFT PBE with a Hubbard U
# - Energy above the lowest structure with this stoichiometry: 0 meV/atom
# - Total energy: -6.49 eV/atom
# - Space-group type: P1 (1)
data_LiMn2TeO6
_symmetry_space_group_name_H-M 'P 1'
_symmetry_Int_Tables_number 1
_cell_length_a 5.1179
_cell_length_b 5.1956
_cell_length_c 8.7745
_cell_angle_alpha 89.41
_cell_angle_beta 92.64
_cell_angle_gamma 92.52
loop_
_symmetry_equiv_pos_as_xyz
'x,y,z'
loop_
_atom_site_label
_atom_site_fract_x
_atom_site_fract_y
_atom_site_fract_z
Li1 0.5710 0.3851 0.9742
Li2 0.5649 0.8837 0.1870
Mn1 0.5120 0.9879 0.6825
Mn2 0.0188 0.0189 0.3969
Mn3 0.0327 0.4895 0.7617
Mn4 0.0139 0.5169 0.1809
Te1 0.5148 0.5033 0.4883
Te2 0.0081 0.0061 0.9910
O1 0.1970 0.8524 0.1736
O2 0.2608 0.3627 0.3326
O3 0.7109 0.6780 0.6632
O4 0.2933 0.7983 0.5227
O5 0.2087 0.3256 0.9851
O6 0.7620 0.1566 0.8400
O7 0.7819 0.6962 0.0261
O8 0.3097 0.3017 0.6408
O9 0.8094 0.1847 0.1492
O10 0.2109 0.8417 0.8473
O11 0.7352 0.6834 0.3451
O12 0.7337 0.2149 0.5064